First-principles (meta-GGA SCAN) data for a PBEsol-optimized structure of CuPbBr2, as listed in Alexandria via LeMat-Bulk.

Properties
energy relative to the elements, uncorrected	-0.265	eV per atom
relative energy among the computed polymorphs	0.032	eV/atom
total moment	0.000	μB per atom

Lattice parameters (Å, degrees): 3.5974 5.0606 11.0701 90.00 90.00 90.00
Space group Imm2 (No. 44)
Symmetry-distinct sites (fractional):
Cu: 0.0000 0.0000 0.0000
Pb: 0.0000 0.5000 0.6944
Br: 0.0000 0.0000 0.5595
Br: 0.0000 0.5000 0.3528